(1)
The following is a PBE calculation of an optimized crystal structure of LiMg2Br, from Alexandria.

abc: 3.385 3.385 8.353
angles: 90.00 90.00 90.00
Positions (direct):
Li  0.000  0.000  0.000
Mg  0.500  0.500  0.246
Mg  0.500  0.500  0.754
Br  0.000  0.000  0.500

Output
symmetry	P4/mmm
formation energy without anion corrections	-0.277	eV per atom
ΔE to the lowest computed polymorph	184	meV per atom

(2)
The following is a PBE calculation of an optimized crystal structure of ThGe4Rh6, from Alexandria.

abc: 7.220 7.220 3.905
angles: 90.00 90.00 120.00
Positions (direct):
Th  0.000  0.000  0.000
Ge  0.333  0.667  0.000
Ge  0.400  0.200  0.500
Ge  0.800  0.200  0.500
Ge  0.800  0.600  0.500
Rh  0.198  0.396  0.500
Rh  0.198  0.802  0.500
Rh  0.533  0.066  0.000
Rh  0.533  0.467  0.000
Rh  0.604  0.802  0.500
Rh  0.934  0.467  0.000

Output
symmetry	P-6m2
formation energy	-0.7732	eV/atom

(3)
The following is a PBE calculation of an optimized crystal structure of LiCa2ZnAg6, from Alexandria.

abc: 6.600 6.740 6.864
angles: 61.61 62.26 61.13
Positions (direct):
Li  0.000  0.000  0.000
Ca  0.200  0.193  0.206
Ca  0.800  0.807  0.794
Zn  0.500  0.500  0.500
Ag  0.161  0.326  0.639
Ag  0.335  0.641  0.157
Ag  0.354  0.838  0.675
Ag  0.646  0.162  0.325
Ag  0.665  0.359  0.843
Ag  0.839  0.674  0.361

Output
symmetry	P-1
formation energy	-0.0914	eV/atom

(4)
The following is a PBE calculation of an optimized crystal structure of YGa2B, from Alexandria.

abc: 5.776 5.776 5.776
angles: 102.20 102.20 125.27
Positions (direct):
Y  0.000  0.000  0.000
Y  0.750  0.250  0.500
Ga  0.212  0.625  0.087
Ga  0.375  0.462  0.587
Ga  0.538  0.125  0.913
Ga  0.875  0.788  0.413
B  0.250  0.750  0.500
B  0.500  0.500  0.000

Output
symmetry	I-42d
formation energy	-0.1073	eV/atom

(5)
The following is a PBE calculation of an optimized crystal structure of Sm3Cu2Hg4, from Alexandria.

abc: 6.017 6.017 8.963
angles: 114.92 114.92 46.79
Positions (direct):
Sm  0.000  0.000  0.000
Sm  0.330  0.330  0.344
Sm  0.670  0.670  0.656
Cu  0.401  0.401  0.728
Cu  0.599  0.599  0.272
Hg  0.052  0.052  0.377
Hg  0.287  0.287  0.937
Hg  0.713  0.713  0.063
Hg  0.948  0.948  0.623

Output
symmetry	C2/m
formation energy	-0.3441	eV/atom

(6)
The following is a PBE calculation of an optimized crystal structure of RbV2Br2, from Alexandria.

abc: 9.340 9.340 9.340
angles: 157.85 157.85 31.52
Positions (direct):
Rb  0.000  0.000  0.000
V  0.250  0.750  0.500
V  0.750  0.250  0.500
Br  0.373  0.373  0.000
Br  0.627  0.627  0.000

Output
symmetry	I4/mmm
formation energy without anion corrections	-0.052	eV per atom
ΔE to the lowest computed polymorph	0	meV per atom

(7)
The following is a PBE calculation of an optimized crystal structure of Tm3MgPb5, from Alexandria.

abc: 9.369 9.369 6.486
angles: 90.00 90.00 120.00
Positions (direct):
Tm  0.000  0.378  0.250
Tm  0.000  0.622  0.750
Tm  0.378  0.000  0.250
Tm  0.378  0.378  0.750
Tm  0.622  0.000  0.750
Tm  0.622  0.622  0.250
Mg  0.000  0.000  0.000
Mg  0.000  0.000  0.500
Pb  0.000  0.285  0.750
Pb  0.000  0.715  0.250
Pb  0.285  0.000  0.750
Pb  0.285  0.285  0.250
Pb  0.333  0.667  0.000
Pb  0.333  0.667  0.500
Pb  0.667  0.333  0.000
Pb  0.667  0.333  0.500
Pb  0.715  0.000  0.250
Pb  0.715  0.715  0.750

Output
symmetry	P6_3/mcm
formation energy	-0.2653	eV/atom

(8)
The following is a PBE calculation of an optimized crystal structure of AgIO4, from Alexandria.

abc: 7.247 7.247 7.247
angles: 136.20 136.20 63.67
Positions (direct):
Ag  0.375  0.125  0.250
Ag  0.625  0.875  0.750
I  0.125  0.375  0.750
I  0.875  0.625  0.250
O  0.050  0.693  0.835
O  0.193  0.858  0.643
O  0.284  0.450  0.143
O  0.358  0.216  0.665
O  0.642  0.784  0.335
O  0.716  0.550  0.857
O  0.807  0.142  0.357
O  0.950  0.307  0.165

Output
symmetry	I4_1/a
formation energy without anion corrections	-0.069	eV per atom
ΔE to the lowest computed polymorph	0	meV per atom